# PrNi4Ge2, relaxed, DFT GGA-PBE
data_PrNi4Ge2
_chemical_formula_sum 'Pr3 Ni12 Ge6'
_space_group_name_H-M_alt 'R -3 m'
_space_group_IT_number 166
_space_group_name_Hall '-R 3 2"'
_cell_length_a 4.0513
_cell_length_b 4.0513
_cell_length_c 22.8533
_cell_angle_alpha 90.00
_cell_angle_beta 90.00
_cell_angle_gamma 120.00
loop_
_atom_site_label
_atom_site_type_symbol
_atom_site_fract_x
_atom_site_fract_y
_atom_site_fract_z
_atom_site_occupancy
Pr1 Pr 0.0000 0.0000 0.0000 1
Ni1 Ni 0.0000 0.0000 0.1429 1
Ni2 Ni 0.0000 0.0000 0.4431 1
Ge1 Ge 0.0000 0.0000 0.2458 1
# **Energy above the lowest structure with this stoichiometry**: 0 meV per atom
# **Calculated formation energy**: -0.468 eV per atom